1.
Computed, not measured: a relaxed MnSi2N crystal at the PBE level of DFT.

The density of states at the Fermi level is 0.178 states/eV/atom. The total magnetization comes out at 0.000 μB/cell. Its uncorrected formation energy is -0.10 eV/atom. The uncorrected energy comes out at -28.737 eV for the cell shown. The density is 4767 kg/m³.

It has space group P1 (No. 1), with a = 3.007 Å, b = 3.220 Å, c = 4.735 Å, α = 104.00°, β = 100.24° and γ = 92.59°. The inequivalent atoms are Mn at (0.000, 0.000, 0.000), Si at (0.152, 0.286, 0.584), Si at (0.545, 0.578, 0.191) and N at (0.671, 0.612, 0.587).


2.
Computed, not measured: a relaxed TbEr5Pb6 crystal at the PBE level of DFT.

The density of states at the Fermi level is 0.624 states/eV/atom. The total magnetization comes out at 0.000 μB/cell. The uncorrected energy comes out at -109.178 eV for the cell shown. The density is 10693 kg/m³.

It has space group C2/m (No. 12), with a = 6.103 Å, b = 15.318 Å, c = 7.656 Å, α = 90.00°, β = 103.72° and γ = 90.00°. The inequivalent atoms are Tb at (0.000, 0.000, 0.000), Er at (0.000, 0.000, 0.500), Er at (0.000, 0.332, 0.000), Er at (0.000, 0.335, 0.500), Pb at (0.001, 0.168, 0.747) and Pb at (0.004, 0.500, 0.248).


3.
Computed, not measured: a relaxed Tl2InRe crystal at the PBE level of DFT.

The density of states at the Fermi level is 0.276 states/eV/atom. The total magnetization comes out at 0.000 μB/cell. The uncorrected energy comes out at -16.371 eV for the cell shown. The density is 13489 kg/m³.

It has space group P4/mmm (No. 123), with a = 3.789 Å, b = 3.789 Å, c = 6.086 Å, α = 90.00°, β = 90.00° and γ = 90.00°. The inequivalent atoms are Tl at (0.000, 0.000, 0.236), In at (0.500, 0.500, 0.500) and Re at (0.500, 0.500, 0.000).


4.
Computed, not measured: a relaxed LiCaSi crystal at the PBE level of DFT.

The density of states at the Fermi level is 0.449 states/eV/atom. The total magnetization comes out at 0.000 μB/cell. Its uncorrected formation energy is -0.33 eV/atom. The uncorrected energy comes out at -41.338 eV for the cell shown. The density is 1810 kg/m³.

It has space group C2/m (No. 12), with a = 10.515 Å, b = 4.385 Å, c = 7.306 Å, α = 90.00°, β = 125.08° and γ = 90.00°. The inequivalent atoms are Li at (0.214, 0.000, 0.093), Ca at (0.076, 0.500, 0.336) and Si at (0.132, 0.000, 0.676).


5.
Computed, not measured: a relaxed SnPICl2 crystal at the PBE level of DFT.

The density of states at the Fermi level is 0.527 states/eV/atom. The total magnetization comes out at 0.000 μB/cell. Its uncorrected formation energy is 0.53 eV/atom. The uncorrected energy comes out at -11.985 eV for the cell shown. The density is 3713 kg/m³.

It has space group P4/mmm (No. 123), with a = 5.350 Å, b = 5.350 Å, c = 5.430 Å, α = 90.00°, β = 90.00° and γ = 90.00°. The inequivalent atoms are Sn at (0.000, 0.000, 0.000), P at (0.500, 0.500, 0.000), I at (0.500, 0.500, 0.500) and Cl at (0.000, 0.500, 0.500).


6.
Computed, not measured: a relaxed KNi2As2 crystal at the PBE level of DFT.

The density of states at the Fermi level is 0.398 states/eV/atom. The total magnetization comes out at 0.000 μB/cell. The uncorrected energy comes out at -44.510 eV for the cell shown. The density is 5745 kg/m³.

It has space group P4/mbm (No. 127), with a = 7.840 Å, b = 7.840 Å, c = 2.881 Å, α = 90.00°, β = 90.00° and γ = 90.00°. The inequivalent atoms are K at (0.000, 0.000, 0.000), Ni at (0.115, 0.385, 0.000) and As at (0.142, 0.642, 0.500).


7.
Computed, not measured: a relaxed Nb3Ni5Pd12 crystal at the PBE level of DFT.

The density of states at the Fermi level is 1.172 states/eV/atom. The total magnetization comes out at 21.010 μB/cell. The uncorrected energy comes out at -895.040 eV for the cell shown. The density is 8154 kg/m³.

It has space group Ia-3d (No. 230), with a = 14.443 Å, b = 14.443 Å, c = 14.443 Å, α = 90.00°, β = 90.00° and γ = 90.00°. The inequivalent atoms are Nb at (0.000, 0.250, 0.125), Ni at (0.000, 0.000, 0.000), Ni at (0.000, 0.250, 0.375) and Pd at (0.017, 0.074, 0.651).